First-principles (PBE) data for a relaxed structure of Ho3Zn8Ir, as listed in the Alexandria database.

Unit cell a=9.3597 b=9.3597 c=9.3597 alpha=32.54 beta=32.54 gamma=32.54
Element x y z (fractional)
Ho (0.0000, 0.0000, 0.0000)
Ho (0.1263, 0.1263, 0.1263)
Ho (0.6099, 0.6099, 0.6099)
Zn (0.0555, 0.0555, 0.5576)
Zn (0.0555, 0.5576, 0.0555)
Zn (0.0653, 0.5595, 0.5595)
Zn (0.3074, 0.3074, 0.3074)
Zn (0.5576, 0.0555, 0.0555)
Zn (0.5595, 0.0653, 0.5595)
Zn (0.5595, 0.5595, 0.0653)
Zn (0.8095, 0.8095, 0.8095)
Ir (0.5035, 0.5035, 0.5035)

Output
Crystal system = trigonal



First-principles (PBE) data for a relaxed structure of PrHo3Er3, as listed in the Alexandria database.

Unit cell a=6.5944 b=6.5944 c=6.5944 alpha=108.02 beta=108.02 gamma=108.02
Element x y z (fractional)
Pr (0.0000, 0.0000, 0.0000)
Ho (0.0211, 0.4277, 0.4277)
Ho (0.4277, 0.0211, 0.4277)
Ho (0.4277, 0.4277, 0.0211)
Er (0.4703, 0.9171, 0.9171)
Er (0.9171, 0.4703, 0.9171)
Er (0.9171, 0.9171, 0.4703)

Output
Relative energy among the computed polymorphs = 0.075 eV per atom
Crystal system = trigonal



First-principles (PBE) data for a relaxed structure of NdHo2Lu, as listed in the Alexandria database.

Unit cell a=5.6558 b=5.6558 c=5.6558 alpha=60.00 beta=60.00 gamma=60.00
Element x y z (fractional)
Nd (0.0000, 0.0000, 0.0000)
Ho (0.2500, 0.2500, 0.2500)
Ho (0.7500, 0.7500, 0.7500)
Lu (0.5000, 0.5000, 0.5000)

Output
Relative energy among the computed polymorphs = 0.118 eV per atom
Crystal system = cubic



| no. | energy relative to the elements (eV/atom) |
| --- | --- |
| 1 | -0.324 |
| 2 | 0.294 |
| 3 | 0.144 |